First-principles (GGA-PBEsol) data for a geometry-optimized KMnW2 structure, as listed in the Alexandria database.

Structure (extended XYZ):
```
8
Lattice="9.002 0.000 0.000 0.000 2.954 0.000 -0.715 0.000 6.989" Properties=species:S:1:pos:R:3 pbc="T T T"
K 0.000 0.000 0.000
K 4.501 1.477 0.000
Mn 1.689 0.000 4.265
Mn 6.190 1.477 4.265
W -0.234 1.477 3.680
W 2.241 1.477 2.665
W 4.267 0.000 3.680
W 6.742 0.000 2.665
```

Output
- Formation energy: 1.198 eV/atom
- DOS(E_F): 2.80 states/eV/f.u.
- Magnetization: 0.000 μB/atom
- Volume: 185.8 Å³/cell
- Space group: No. 8